Record 1
DFT (GGA-PBE) results for a relaxed Mg6Cu2Hg crystal.

Lattice parameters (Å, degrees): 7.742 7.742 7.742 102.97 111.57 114.07
Fractional positions:
1 Mg 0.525 0.812 0.713
2 Mg 0.475 0.188 0.287
3 Mg 0.099 0.812 0.287
4 Mg 0.901 0.188 0.713
5 Mg 0.798 0.047 0.249
6 Mg 0.202 0.953 0.751
7 Mg 0.202 0.450 0.249
8 Mg 0.798 0.550 0.751
9 Mg 0.701 0.330 0.031
10 Mg 0.299 0.670 0.969
11 Mg 0.299 0.330 0.629
12 Mg 0.701 0.670 0.371
13 Cu 0.500 0.126 0.626
14 Cu 0.500 0.874 0.374
15 Cu 0.657 0.657 0.000
16 Cu 0.343 0.343 0.000
17 Hg 0.000 0.500 0.500
18 Hg 0.000 0.000 0.000

Output
M_tot, μB/cell: 0.0
Raw total energy, eV/atom: -2.13
DOS(E_F), states/eV/atom: 0.305

---

Record 2
DFT (GGA-PBE) results for a relaxed ScCdRh crystal.

Lattice parameters (Å, degrees): 4.538 4.538 3.091 90.00 90.00 120.00
Fractional positions:
1 Cd 0.000 0.000 0.025
2 Rh 0.667 0.333 0.372
3 Sc 0.333 0.667 0.602

Output
M_tot, μB/cell: 0.0
Raw total energy, eV/atom: -5.31
DOS(E_F), states/eV/atom: 0.523

---

Record 3
DFT (GGA-PBE) results for a relaxed Tb5PaCo4 crystal.

Lattice parameters (Å, degrees): 4.191 7.000 8.555 109.86 104.18 90.00
Fractional positions:
1 Tb 0.165 0.051 0.330
2 Tb 0.175 0.554 0.350
3 Tb 0.825 0.446 0.650
4 Tb 0.500 0.500 0.000
5 Tb 0.835 0.949 0.670
6 Pa 0.500 0.000 0.000
7 Co 0.638 0.285 0.277
8 Co 0.985 0.788 0.971
9 Co 0.362 0.715 0.723
10 Co 0.015 0.212 0.029

Output
M_tot, μB/cell: 0.0
Raw total energy, eV/atom: -6.34
DOS(E_F), states/eV/atom: 0.770

---

Record 4
DFT (GGA-PBE) results for a relaxed MgSi2Mo2 crystal.

Lattice parameters (Å, degrees): 4.671 4.671 5.260 63.64 63.64 90.00
Fractional positions:
1 Mg 0.000 0.000 0.000
2 Mo 0.355 0.355 0.290
3 Mo 0.645 0.645 0.710
4 Si 0.750 0.250 0.500
5 Si 0.250 0.750 0.500

Output
M_tot, μB/cell: 0.0
Raw total energy, eV/atom: -6.58
Polymorph energy (0 for the lowest one), meV per atom: 584
Uncorrected formation energy, eV/atom: 0.24
DOS(E_F), states/eV/atom: 0.509

---

Record 5
DFT (GGA-PBE) results for a relaxed SrAgHgTe2 crystal.

Lattice parameters (Å, degrees): 5.675 5.938 5.675 90.00 90.00 90.00
Fractional positions:
1 Sr 0.000 0.500 0.000
2 Te 0.000 0.000 0.500
3 Te 0.500 0.000 0.000
4 Hg 0.000 0.000 0.000
5 Ag 0.500 0.500 0.500

Output
M_tot, μB/cell: 0.0
Raw total energy, eV/atom: -2.02
Uncorrected formation energy, eV/atom: 0.20
DOS(E_F), states/eV/atom: 1.131

---

Record 6
DFT (GGA-PBE) results for a relaxed Nd4TcAg crystal.

Lattice parameters (Å, degrees): 6.436 7.839 7.839 112.07 99.64 99.64
Fractional positions:
1 Nd 0.901 0.632 0.790
2 Nd 0.044 0.932 0.278
3 Nd 0.599 0.210 0.368
4 Nd 0.456 0.722 0.068
5 Nd 0.544 0.278 0.932
6 Nd 0.401 0.790 0.632
7 Nd 0.956 0.068 0.722
8 Nd 0.099 0.368 0.210
9 Tc 0.250 0.000 0.000
10 Tc 0.750 0.000 0.000
11 Ag 0.750 0.625 0.375
12 Ag 0.250 0.375 0.625

Output
M_tot, μB/cell: 0.0
Raw total energy, eV/atom: -5.48
DOS(E_F), states/eV/atom: 0.880

---

Record 7
DFT (GGA-PBE) results for a relaxed Te3C crystal.

Lattice parameters (Å, degrees): 8.908 8.908 4.775 90.00 90.00 104.71
Fractional positions:
1 Te 0.051 0.949 0.750
2 Te 0.949 0.051 0.250
3 Te 0.169 0.479 0.750
4 Te 0.831 0.521 0.250
5 Te 0.521 0.831 0.750
6 Te 0.479 0.169 0.250
7 C 0.652 0.348 0.250
8 C 0.348 0.652 0.750

Output
M_tot, μB/cell: 0.0
Raw total energy, eV/atom: -3.74
Polymorph energy (0 for the lowest one), meV per atom: 119
Uncorrected formation energy, eV/atom: 0.92
DOS(E_F), states/eV/atom: 0.191

---

Record 8
DFT (GGA-PBE) results for a relaxed BeCd2Pb crystal.

Lattice parameters (Å, degrees): 3.396 4.396 6.241 69.81 90.00 90.00
Fractional positions:
1 Pb 0.000 0.524 0.578
2 Be 0.500 0.973 0.681
3 Cd 0.000 0.805 0.013
4 Cd 0.500 0.198 0.227

Output
M_tot, μB/cell: 0.0
Raw total energy, eV/atom: -1.99
Polymorph energy (0 for the lowest one), meV per atom: 22
DOS(E_F), states/eV/atom: 0.185

---

Record 9
DFT (GGA-PBE) results for a relaxed TlSeCl2 crystal.

Lattice parameters (Å, degrees): 8.424 8.424 3.817 77.48 77.48 26.68
Fractional positions:
1 Tl 0.302 0.302 0.196
2 Se 0.480 0.480 0.523
3 Cl 0.995 0.995 0.009
4 Cl 0.723 0.723 0.771

Output
M_tot, μB/cell: 0.0
Raw total energy, eV/atom: -2.61
Polymorph energy (0 for the lowest one), meV per atom: 162
Uncorrected formation energy, eV/atom: -0.23
DOS(E_F), states/eV/atom: 0.901

---

Record 10
DFT (GGA-PBE) results for a relaxed PrNp4S6 crystal.

Lattice parameters (Å, degrees): 3.907 6.749 19.856 90.00 90.00 106.83
Fractional positions:
1 Pr 0.656 0.312 0.250
2 Pr 0.344 0.688 0.750
3 Np 0.863 0.725 0.541
4 Np 0.407 0.814 0.126
5 Np 0.137 0.275 0.459
6 Np 0.593 0.186 0.874
7 Np 0.863 0.725 0.959
8 Np 0.137 0.275 0.041
9 Np 0.593 0.186 0.626
10 Np 0.407 0.814 0.374
11 S 0.500 0.000 0.000
12 S 0.500 0.000 0.500
13 S 0.045 0.090 0.334
14 S 0.955 0.910 0.666
15 S 0.955 0.910 0.834
16 S 0.045 0.090 0.166
17 S 0.769 0.539 0.412
18 S 0.231 0.461 0.588
19 S 0.231 0.461 0.912
20 S 0.769 0.539 0.088
21 S 0.318 0.635 0.250
22 S 0.682 0.365 0.750

Output
M_tot, μB/cell: 33.9
Raw total energy, eV/atom: -8.89
Uncorrected formation energy, eV/atom: -1.50
DOS(E_F), states/eV/atom: 2.919

---

Record 11
DFT (GGA-PBE) results for a relaxed Nd6Tl2Pb crystal.

Lattice parameters (Å, degrees): 5.366 7.560 9.278 114.04 106.75 90.00
Fractional positions:
1 Nd 0.168 0.421 0.337
2 Nd 0.832 0.084 0.663
3 Nd 0.832 0.579 0.663
4 Nd 0.500 0.254 0.000
5 Nd 0.168 0.916 0.337
6 Nd 0.500 0.746 0.000
7 Tl 0.666 0.666 0.333
8 Tl 0.334 0.334 0.667
9 Pb 0.000 0.000 0.000

Output
M_tot, μB/cell: 1.6
Raw total energy, eV/atom: -4.24
Polymorph energy (0 for the lowest one), meV per atom: 183
DOS(E_F), states/eV/atom: 1.610

---

Record 12
DFT (GGA-PBE) results for a relaxed YCo2Ag crystal.

Lattice parameters (Å, degrees): 5.178 5.178 5.178 140.07 128.93 66.72
Fractional positions:
1 Ag 0.233 0.733 0.500
2 Co 0.964 0.964 0.000
3 Co 0.790 0.290 0.500
4 Y 0.512 0.512 0.000

Output
M_tot, μB/cell: 2.4
Raw total energy, eV/atom: -5.77
Polymorph energy (0 for the lowest one), meV per atom: 2
DOS(E_F), states/eV/atom: 0.759